Record 1
PuTlInCl6 after structural relaxation. Source: Alexandria via LeMat-Bulk, functional GGA-PBE.

a = 6.9934 Å, b = 6.9934 Å, c = 13.4318 Å
α = 90.00°, β = 90.00°, γ = 90.00°
Last column: nearest neighbours and their distance in Å.
Space group P4_2nm (No. 102)
Asymmetric unit:
Pu  0.0000  0.0000  0.0000 x2  6 Cl 2.61-2.63
Tl  0.0000  0.0000  0.6655 x2  6 Cl 3.19-3.26
In  0.0000  0.0000  0.3333 x2  6 Cl 3.06-3.20
Cl  0.1764  0.1764  0.1465 x4  1 Pu 2.63
Cl  0.1853  0.1853  0.8603 x4  1 Pu 2.62
Cl  0.2362  0.2362  0.4960 x4  1 Pu 2.61

Record 2
PuVInCl6 after structural relaxation. Source: Alexandria via LeMat-Bulk, functional GGA-PBE.

a = 6.7720 Å, b = 6.7720 Å, c = 14.0627 Å
α = 90.00°, β = 90.00°, γ = 120.00°
Last column: nearest neighbours and their distance in Å.
Space group P-31c (No. 163)
Asymmetric unit:
Pu  0.3333  0.6667  0.2500 x2  6 Cl 2.75
V  0.3333  0.6667  0.7500 x2  6 Cl 2.47
In  0.0000  0.0000  0.0000 x2  6 Cl 3.21
Cl  0.0320  0.3792  0.6462 x12  1 V 2.47, 1 Pu 2.75

In order of appearance, uncorrected formation energy = -1.377 -1.424 eV/atom.